Compound: CaAc3Ag3
Source: the Alexandria database
Functional: PBE
Structure: relaxed

Summary:
**ΔE_f**: -0.157 eV per atom
**Total energy**: -3.43 eV per atom
**Fermi-level density of states**: 15.5 states/eV per cell
**V**: 33.38 A^3/atom

Cell lengths 7.788, 7.788, 7.748 Å; angles 91.20, 91.20, 95.79 degrees
Sites, in units of the cell vectors:
Ag  0.939  0.939  0.173
Ag  0.015  0.501  0.274
Ag  0.499  0.985  0.726
Ag  0.985  0.499  0.726
Ag  0.061  0.061  0.827
Ag  0.501  0.015  0.274
Ca  0.747  0.747  0.871
Ca  0.253  0.253  0.129
Ac  0.825  0.175  0.500
Ac  0.656  0.656  0.378
Ac  0.344  0.344  0.622
Ac  0.175  0.825  0.500
Ac  0.736  0.264  0.000
Ac  0.264  0.736  0.000

***

Compound: MgSCl3
Source: the Alexandria database
Functional: PBE
Structure: relaxed

Summary:
**Excess energy over the best structure of this formula in the dataset**: 0 meV/atom
**Formation energy from raw total energies**: -0.491 eV per atom
**Total energy**: -2.74 eV per atom
**Fermi-level density of states**: 0.0 states/eV per cell
**V**: 24.53 A^3/atom

Cell lengths 4.968, 4.968, 4.968 Å; angles 90.00, 90.00, 90.00 degrees
Site moments in Bohr magnetons follow the coordinates.
Sites, in units of the cell vectors:
Cl  0.500  0.000  0.000  0.17
Cl  0.000  0.500  0.000  0.11
Cl  0.000  0.000  0.500  0.22
Mg  0.000  0.000  0.000  0.00
S  0.500  0.500  0.500  1.51

***

Compound: Ac3Ga2AsPd9
Source: the Alexandria database
Functional: PBE
Structure: relaxed

Summary:
**ΔE_f**: -0.614 eV per atom
**Total energy**: -5.27 eV per atom
**Fermi-level density of states**: 9.6 states/eV per cell
**V**: 22.09 A^3/atom

Cell lengths 7.405, 7.405, 6.977 Å; angles 90.00, 90.00, 120.00 degrees
Sites, in units of the cell vectors:
Pd  0.000  0.500  0.000
Pd  0.330  0.165  0.671
Pd  0.500  0.000  0.000
Pd  0.165  0.835  0.329
Pd  0.500  0.500  0.000
Pd  0.835  0.165  0.671
Pd  0.165  0.330  0.329
Pd  0.670  0.835  0.329
Pd  0.835  0.670  0.671
Ac  0.667  0.333  0.334
Ac  0.000  0.000  0.000
Ac  0.333  0.667  0.666
Ga  0.667  0.333  0.829
Ga  0.333  0.667  0.171
As  0.000  0.000  0.500